Density functional theory data (PBE) for KBaTe after structural relaxation.

formation energy without anion corrections: -0.979 eV/atom
final energy: -9.1 eV per cell
polymorph energy (0 for the lowest one): 0.000 eV/atom

```
KBaTe
1.0
5.004 0.000 0.000
-2.502 4.334 0.000
0.000 0.000 8.343
K Te Ba
1 1 1
direct
0.667 0.333 0.427
0.333 0.667 0.681
0.000 0.000 0.892
```